DFT (PBE-GGA) results for crystalline La6Sm2Ho3 at its relaxed geometry.

```
11
Lattice="6.321 0.000 0.000 -2.072 7.914 0.000 -1.043 -2.848 7.631" Properties=species:S:1:pos:R:3 pbc="T T T"
La -0.521 0.280 3.145
La -0.500 7.047 0.367
La 0.530 -0.292 6.579
La 2.676 5.358 1.052
La 3.706 -1.981 7.263
La 3.727 4.786 4.486
Sm 0.567 3.101 5.188
Sm 2.640 1.965 2.443
Ho -0.502 3.667 1.745
Ho 2.639 -1.424 3.815
Ho 3.708 1.399 5.886
```

Calculated values
- size of the total moment (μB/f.u.) = 0.0
- space-group type = P-1


DFT (PBE-GGA) results for crystalline La4Sm7Ho at its relaxed geometry.

```
12
Lattice="6.103 -3.047 0.000 6.103 3.047 0.000 -5.998 0.000 11.598" Properties=species:S:1:pos:R:3 pbc="T T T"
La -1.365 0.000 3.906
La 3.084 0.000 2.571
La 3.124 0.000 9.027
La 7.573 0.000 7.691
Sm 0.000 0.000 0.000
Sm -2.966 0.000 10.708
Sm -0.941 0.000 8.028
Sm 1.452 0.000 5.746
Sm 4.756 0.000 5.852
Sm 7.149 0.000 3.570
Sm 9.173 0.000 0.890
Ho 6.103 0.000 0.000
```

Calculated values
- size of the total moment (μB/f.u.) = 0.0
- space-group type = C2/m


DFT (PBE-GGA) results for crystalline LaSm12Ho3 at its relaxed geometry.

```
16
Lattice="5.118 0.000 0.000 0.000 5.118 0.000 0.000 0.000 20.484" Properties=species:S:1:pos:R:3 pbc="T T T"
La 0.000 0.000 0.000
Sm 0.000 2.559 2.623
Sm 0.000 2.559 7.701
Sm 0.000 2.559 12.783
Sm 0.000 2.559 17.861
Sm 2.559 0.000 2.623
Sm 2.559 0.000 7.701
Sm 2.559 0.000 12.783
Sm 2.559 0.000 17.861
Sm 2.559 2.559 0.000
Sm 2.559 2.559 5.181
Sm 2.559 2.559 10.242
Sm 2.559 2.559 15.303
Ho 0.000 0.000 5.155
Ho 0.000 0.000 10.242
Ho 0.000 0.000 15.329
```

Calculated values
- size of the total moment (μB/f.u.) = 0.0
- space-group type = P4/mmm


DFT (PBE-GGA) results for crystalline La2Sm2Ho5 at its relaxed geometry.

```
9
Lattice="10.879 -1.752 0.000 10.879 1.752 0.000 -1.514 0.000 8.214" Properties=species:S:1:pos:R:3 pbc="T T T"
La 3.752 0.000 1.180
La 16.491 0.000 7.034
Sm 8.906 0.000 5.285
Sm 11.337 0.000 2.929
Ho 0.000 0.000 0.000
Ho 1.021 0.000 6.043
Ho 6.020 0.000 3.857
Ho 14.224 0.000 4.358
Ho 19.223 0.000 2.172
```

Calculated values
- size of the total moment (μB/f.u.) = 0.0
- space-group type = C2/m


DFT (PBE-GGA) results for crystalline LaSm3Ho6 at its relaxed geometry.

```
10
Lattice="4.955 2.861 3.874 -4.955 2.861 3.874 0.000 -5.722 3.874" Properties=species:S:1:pos:R:3 pbc="T T T"
La 0.000 0.000 0.000
Sm 0.000 0.000 2.930
Sm 0.000 0.000 5.812
Sm 0.000 0.000 8.694
Ho -1.634 -2.891 3.874
Ho -3.228 0.000 5.812
Ho -1.687 2.861 3.874
Ho 1.614 -2.796 5.812
Ho 3.321 0.030 3.874
Ho 1.614 2.796 5.812
```

Calculated values
- size of the total moment (μB/f.u.) = 0.0
- space-group type = R32


DFT (PBE-GGA) results for crystalline La2Sm4Ho at its relaxed geometry.

```
14
Lattice="6.290 0.000 0.000 0.000 6.688 0.000 -2.858 -0.009 11.436" Properties=species:S:1:pos:R:3 pbc="T T T"
La -0.740 1.668 5.648
La 1.097 1.673 0.817
La 2.334 5.006 10.619
La 4.172 5.011 5.788
Sm -1.309 0.049 8.980
Sm -1.307 3.280 8.980
Sm 2.098 5.016 0.598
Sm 1.150 5.009 7.359
Sm 2.282 1.669 4.077
Sm 1.334 1.662 10.838
Sm 4.739 3.399 2.456
Sm 4.741 6.630 2.456
Ho 1.260 5.013 3.880
Ho 2.172 1.666 7.556
```

Calculated values
- size of the total moment (μB/f.u.) = 0.0
- space-group type = P-1


DFT (PBE-GGA) results for crystalline La2SmHo8 at its relaxed geometry.

```
11
Lattice="-2.776 4.071 8.018 2.776 -4.071 8.018 2.776 4.071 -8.018" Properties=species:S:1:pos:R:3 pbc="T T T"
La 0.000 0.000 3.225
La 0.000 0.000 12.812
Sm 0.000 0.000 8.018
Ho 2.776 1.686 -2.176
Ho 0.000 1.691 0.000
Ho 2.776 0.000 5.463
Ho 2.776 1.686 2.176
Ho 0.000 2.384 5.842
Ho 0.000 4.071 2.555
Ho 0.000 6.451 0.000
Ho 0.000 2.384 10.194
```

Calculated values
- size of the total moment (μB/f.u.) = 0.0
- space-group type = Immm


DFT (PBE-GGA) results for crystalline La4Sm3Ho8 at its relaxed geometry.

```
15
Lattice="6.771 -6.467 0.000 6.771 6.467 0.000 -3.403 0.000 5.890" Properties=species:S:1:pos:R:3 pbc="T T T"
La 0.000 0.000 0.000
La -1.701 0.000 2.945
La 3.385 3.233 0.000
La 3.385 -3.233 0.000
Sm 1.684 3.233 2.945
Sm 1.684 -3.233 2.945
Sm 6.771 0.000 0.000
Ho 6.771 3.141 0.000
Ho 1.908 0.000 3.004
Ho 3.551 0.000 0.205
Ho 5.069 1.779 2.945
Ho 5.069 -1.779 2.945
Ho 6.588 0.000 5.685
Ho 8.231 0.000 2.887
Ho 6.771 -3.141 0.000
```

Calculated values
- size of the total moment (μB/f.u.) = 0.0
- space-group type = C2/m


DFT (PBE-GGA) results for crystalline La2SmHo at its relaxed geometry.

```
32
Lattice="3.567 -11.973 0.000 3.567 11.973 0.000 -0.128 0.000 13.078" Properties=species:S:1:pos:R:3 pbc="T T T"
La 1.683 5.523 9.843
La 3.472 11.513 9.809
La 3.557 6.014 0.008
La 1.655 0.017 13.069
La 3.513 6.014 6.531
La 1.719 -0.017 6.530
La 1.746 -5.523 3.304
La 3.535 0.487 3.270
La 3.472 -0.487 9.809
La 5.261 5.523 9.775
La 5.288 0.017 6.548
La 3.494 -6.014 6.547
La 5.352 -0.017 0.009
La 3.450 -6.014 13.070
La 3.535 -11.513 3.270
La 5.325 -5.523 3.235
Sm 1.713 3.240 4.999
Sm 1.649 -3.240 11.538
Sm 3.430 2.748 11.565
Sm 3.513 2.748 8.053
Sm 3.494 -2.748 5.025
Sm 3.577 -2.748 1.514
Sm 5.358 3.240 1.540
Sm 5.294 -3.240 8.080
Ho 3.496 9.216 5.025
Ho 1.779 3.227 1.478
Ho 3.575 9.216 1.514
Ho 1.715 -3.227 8.017
Ho 5.292 3.227 5.061
Ho 3.432 -9.216 11.564
Ho 5.229 -3.227 11.601
Ho 3.511 -9.216 8.054
```

Calculated values
- size of the total moment (μB/f.u.) = 0.0
- space-group type = C2/c


DFT (PBE-GGA) results for crystalline La4Sm3Ho4 at its relaxed geometry.

```
11
Lattice="-1.824 2.562 19.976 1.824 -2.562 19.976 1.824 2.562 -19.976" Properties=species:S:1:pos:R:3 pbc="T T T"
La 0.000 0.000 1.835
La 0.000 0.000 12.665
La 0.000 0.000 27.288
La 0.000 0.000 38.117
Sm 0.000 0.000 5.449
Sm 0.000 0.000 19.976
Sm 0.000 0.000 34.503
Ho 0.000 0.000 9.126
Ho 0.000 0.000 16.290
Ho 0.000 0.000 23.663
Ho 0.000 0.000 30.826
```

Calculated values
- size of the total moment (μB/f.u.) = 0.0
- space-group type = Immm


DFT (PBE-GGA) results for crystalline La3Sm4Ho5 at its relaxed geometry.

```
12
Lattice="8.084 -3.007 0.000 8.084 3.007 0.000 -4.176 0.000 8.432" Properties=species:S:1:pos:R:3 pbc="T T T"
La 0.000 0.000 0.000
La 1.494 0.000 6.489
La 10.497 0.000 1.943
Sm 4.234 0.000 1.034
Sm 4.414 0.000 4.694
Sm 7.577 0.000 3.738
Sm 7.757 0.000 7.398
Ho -1.748 0.000 5.869
Ho 1.149 0.000 3.284
Ho 8.084 0.000 0.000
Ho 10.841 0.000 5.148
Ho 13.739 0.000 2.563
```

Calculated values
- size of the total moment (μB/f.u.) = 0.0
- space-group type = C2/m


DFT (PBE-GGA) results for crystalline La2SmHo at its relaxed geometry.

```
4
Lattice="0.000 4.125 4.125 4.125 0.000 4.125 4.125 4.125 0.000" Properties=species:S:1:pos:R:3 pbc="T T T"
La 2.062 2.062 2.062
La 6.187 6.187 6.187
Sm 0.000 0.000 0.000
Ho 4.125 4.125 4.125
```

Calculated values
- size of the total moment (μB/f.u.) = 0.0
- space-group type = Fm-3m


no.,DFT total energy (eV per atom),DFT formation energy (eV per atom),N(E_F) (states/eV per cell)
1,-4.771,0.023,17.88
2,-4.538,0.239,20.99
3,-4.687,0.018,23.97
4,-4.468,0.219,13.29
5,-4.365,0.290,21.62
6,-4.637,0.121,22.97
7,-4.533,0.121,15.16
8,-4.354,0.346,30.53
9,-4.695,0.093,53.60
10,-4.718,0.025,16.68
11,-4.481,0.232,19.45
12,-4.689,0.099,7.92